This record from OQMD describes crystalline Li2MgCd3 at its relaxed geometry. The functional is PBE.

abc: 3.317 3.317 10.211
angles: 90.00 90.00 90.00
Fractional positions:
Cd (0.500, 0.500, 0.000)
Cd (0.500, 0.500, 0.314)
Cd (0.500, 0.500, 0.686)
Li (0.000, 0.000, 0.158)
Li (0.000, 0.000, 0.842)
Mg (0.000, 0.000, 0.500)

Total energy in eV per atom: -1.57
Space-group type: P4/mmm (123)

This record from OQMD describes crystalline Li6MgCd at its relaxed geometry. The functional is PBE.

abc: 4.617 4.617 6.510
angles: 90.00 90.00 90.00
Fractional positions:
Cd (0.500, 0.500, 0.500)
Li (0.500, 0.500, 0.000)
Li (0.500, 0.000, 0.259)
Li (0.000, 0.500, 0.259)
Li (0.000, 0.000, 0.500)
Li (0.500, 0.000, 0.741)
Li (0.000, 0.500, 0.741)
Mg (0.000, 0.000, 0.000)

Total energy in eV per atom: -1.82
Space-group type: P4/mmm (123)

This record from OQMD describes crystalline Li3Mg2Cd at its relaxed geometry. The functional is PBE.

abc: 4.774 4.776 5.472
angles: 90.00 115.85 90.00
Fractional positions:
Cd (0.432, 0.500, 0.353)
Li (0.919, 0.000, 0.349)
Li (0.571, 0.000, 0.650)
Li (0.082, 0.500, 0.654)
Mg (0.247, 0.000, 0.001)
Mg (0.751, 0.500, 0.993)

Total energy in eV per atom: -1.76
Space-group type: Pm (6)

This record from OQMD describes crystalline Li2Mg2Cd3 at its relaxed geometry. The functional is PBE.

abc: 7.394 7.394 7.394
angles: 37.38 37.38 37.38
Fractional positions:
Cd (0.346, 0.346, 0.346)
Cd (0.625, 0.625, 0.625)
Cd (0.895, 0.895, 0.895)
Li (0.207, 0.207, 0.207)
Li (0.762, 0.762, 0.762)
Mg (0.056, 0.056, 0.056)
Mg (0.484, 0.484, 0.484)

Total energy in eV per atom: -1.52
Space-group type: R3m (160)